This record from Alexandria describes an optimized crystal structure of PaZnGaCo. The functional is PBE-GGA.

Values from the calculation:
- mass density (Mg/m³) = 10.4
- SG = No. 216
- E_tot (eV per atom) = -5.3831
- density of states at the Fermi level (states/eV/f.u.) = 3.3
- ΔE to the lowest computed polymorph (eV/atom) = 0.0000
- formation enthalpy at 0 K (meV/atom) = -157
- magnetization (μB per cell) = 0.0

Cell: 4.581 4.581 4.581 Å, 60.00 60.00 60.00°
Element x y z (fractional)
Pa  0.000  0.000  0.000
Zn  0.750  0.750  0.750
Ga  0.500  0.500  0.500
Co  0.250  0.250  0.250